Entry 1:
Al3CuGe | PBE-GGA | optimized geometry

crystal system: cubic
space-group type: Pm-3m

a b c (Å): 4.5680 4.5680 4.5680
angles (deg): 90.00 90.00 90.00
Positions (direct):
Ge 0.5000 0.5000 0.5000
Al 0.0000 0.5000 0.0000
Al 0.0000 0.0000 0.5000
Al 0.5000 0.0000 0.0000
Cu 0.0000 0.0000 0.0000



Entry 2:
AlCu2Ge2 | PBE-GGA | optimized geometry

crystal system: tetragonal
space-group type: I4/mmm

a b c (Å): 3.7479 3.7479 6.4116
angles (deg): 73.01 73.01 90.00
Positions (direct):
Ge 0.7500 0.2500 0.5000
Ge 0.2500 0.7500 0.5000
Al 0.0000 0.0000 0.0000
Cu 0.3994 0.3994 0.2013
Cu 0.6006 0.6006 0.7987



| no. | calculated volume (A^3/atom) | total energy (eV per cell) | excess energy over the best structure of this formula in the dataset (eV/atom) |
| --- | --- | --- | --- |
| 1 | 19.06 | -18.2 | 0.000 |
| 2 | 16.40 | -20.1 | 0.043 |